## Na2CrReBr (GGA-PBEsol)

Data for Na2CrReBr after structural relaxation.

* symmetry: P4/mmm
* formation energy from raw total energies: 1.502 eV/atom
* crystal system: tetragonal
* Fermi-level density of states: 0.640 states/eV per atom

Lattice parameters (Å, degrees): 5.071 5.000 5.000 90.00 90.00 90.00
Last column: magnetic moment on the atom in μB.
Positions (direct):
Re (0.500, 0.500, 0.500)  3.07
Na (0.000, 0.000, 0.500)  -0.01
Na (0.000, 0.500, 0.000)  -0.01
Br (0.000, 0.000, 0.000)  0.03
Cr (0.500, 0.000, 0.000)  3.92

***

## NbCr3Br (GGA-PBEsol)

Data for NbCr3Br after structural relaxation.

* symmetry: Pm-3m
* formation energy from raw total energies: 1.345 eV/atom
* crystal system: cubic
* Fermi-level density of states: 1.314 states/eV per atom

Lattice parameters (Å, degrees): 4.259 4.259 4.259 90.00 90.00 90.00
Last column: magnetic moment on the atom in μB.
Positions (direct):
Cr (0.000, 0.000, 0.500)  0.26
Cr (0.000, 0.500, 0.000)  0.26
Cr (0.500, 0.000, 0.000)  0.26
Nb (0.500, 0.500, 0.500)  -0.15
Br (0.000, 0.000, 0.000)  -0.01

***

## CrNiBr4 (GGA-PBEsol)

Data for CrNiBr4 after structural relaxation.

* symmetry: F-43m
* formation energy from raw total energies: 1.247 eV/atom
* crystal system: cubic
* Fermi-level density of states: 1.771 states/eV per atom

Lattice parameters (Å, degrees): 6.001 6.001 6.001 60.00 60.00 60.00
Last column: magnetic moment on the atom in μB.
Positions (direct):
Br (0.876, 0.375, 0.375)  -0.02
Br (0.375, 0.375, 0.876)  -0.02
Br (0.375, 0.375, 0.375)  -0.02
Br (0.375, 0.876, 0.375)  -0.02
Ni (0.000, 0.000, 0.000)  0.83
Cr (0.750, 0.750, 0.750)  4.23

***

## CrNi2Br (GGA-PBEsol)

Data for CrNi2Br after structural relaxation.

* symmetry: I4/mmm
* formation energy from raw total energies: 0.667 eV/atom
* crystal system: tetragonal
* Fermi-level density of states: 1.359 states/eV per atom

Lattice parameters (Å, degrees): 3.680 3.680 4.681 113.15 113.15 90.00
Last column: magnetic moment on the atom in μB.
Positions (direct):
Ni (0.750, 0.250, 0.500)  0.30
Ni (0.250, 0.750, 0.500)  0.30
Cr (0.000, 0.000, 0.000)  3.07
Br (0.500, 0.500, 0.000)  0.02

***

## CrNiPBr2 (GGA-PBEsol)

Data for CrNiPBr2 after structural relaxation.

* symmetry: P4/mmm
* formation energy from raw total energies: 0.863 eV/atom
* crystal system: tetragonal
* Fermi-level density of states: 0.767 states/eV per atom

Lattice parameters (Å, degrees): 4.542 4.542 5.109 90.00 90.00 90.00
Last column: magnetic moment on the atom in μB.
Positions (direct):
Br (0.000, 0.500, 0.000)  -0.07
Br (0.500, 0.000, 0.000)  -0.07
Cr (0.000, 0.000, 0.500)  3.85
Ni (0.000, 0.000, 0.000)  -0.09
P (0.500, 0.500, 0.500)  -0.59

***

## CrBr2O (GGA-PBEsol)

Data for CrBr2O after structural relaxation.

* symmetry: Fm-3m
* formation energy from raw total energies: 0.375 eV/atom
* crystal system: cubic
* Fermi-level density of states: 0.779 states/eV per atom

Lattice parameters (Å, degrees): 4.477 4.477 4.477 60.00 60.00 60.00
Last column: magnetic moment on the atom in μB.
Positions (direct):
Br (0.750, 0.750, 0.750)  -0.25
Br (0.250, 0.250, 0.250)  -0.25
Cr (0.500, 0.500, 0.500)  3.35
O (0.000, 0.000, 0.000)  -0.89

***

## Cr2PBrO4 (GGA-PBEsol)

Data for Cr2PBrO4 after structural relaxation.

* symmetry: P2_1/c
* formation energy from raw total energies: -1.587 eV/atom
* crystal system: monoclinic
* Fermi-level density of states: 0.009 states/eV per atom

Lattice parameters (Å, degrees): 6.219 6.345 11.588 90.00 90.00 91.84
Last column: magnetic moment on the atom in μB.
Positions (direct):
Cr (0.499, 0.643, 0.388)  3.65
Cr (0.345, 0.968, 0.897)  3.57
Cr (0.999, 0.643, 0.112)  3.65
Cr (0.501, 0.357, 0.612)  3.65
Cr (0.001, 0.357, 0.888)  3.65
Cr (0.155, 0.032, 0.397)  3.57
Cr (0.655, 0.032, 0.103)  3.57
Cr (0.845, 0.968, 0.603)  3.57
O (0.813, 0.811, 0.747)  0.01
O (0.457, 0.661, 0.565)  0.00
O (0.344, 0.079, 0.062)  0.00
O (0.656, 0.921, 0.938)  0.00
O (0.466, 0.958, 0.385)  -0.01
O (0.034, 0.042, 0.885)  -0.01
O (0.156, 0.921, 0.562)  0.00
O (0.187, 0.189, 0.253)  0.01
O (0.957, 0.661, 0.935)  0.00
O (0.313, 0.811, 0.753)  0.01
O (0.534, 0.042, 0.615)  -0.01
O (0.687, 0.189, 0.247)  0.01
O (0.543, 0.339, 0.435)  0.00
O (0.966, 0.958, 0.115)  -0.01
O (0.043, 0.339, 0.065)  0.00
O (0.844, 0.079, 0.438)  0.00
Br (0.962, 0.371, 0.671)  0.05
Br (0.538, 0.629, 0.171)  0.05
Br (0.038, 0.629, 0.329)  0.05
Br (0.462, 0.371, 0.829)  0.05
P (0.138, 0.143, 0.128)  0.03
P (0.862, 0.857, 0.872)  0.03
P (0.638, 0.143, 0.372)  0.03
P (0.362, 0.857, 0.628)  0.03

***

## CrSeBr2O (GGA-PBEsol)

Data for CrSeBr2O after structural relaxation.

* symmetry: P4/mmm
* formation energy from raw total energies: 0.509 eV/atom
* crystal system: tetragonal
* Fermi-level density of states: 1.332 states/eV per atom

Lattice parameters (Å, degrees): 4.580 5.028 5.028 90.00 90.00 90.00
Last column: magnetic moment on the atom in μB.
Positions (direct):
O (0.500, 0.500, 0.500)  1.39
Cr (0.000, 0.000, 0.000)  2.67
Se (0.500, 0.000, 0.000)  -0.36
Br (0.000, 0.000, 0.500)  0.09
Br (0.000, 0.500, 0.000)  0.09

***

## CrSiBr2O (GGA-PBEsol)

Data for CrSiBr2O after structural relaxation.

* symmetry: P4/mmm
* formation energy from raw total energies: 0.691 eV/atom
* crystal system: tetragonal
* Fermi-level density of states: 0.957 states/eV per atom

Lattice parameters (Å, degrees): 4.849 4.779 4.779 90.00 90.00 90.00
Last column: magnetic moment on the atom in μB.
Positions (direct):
Si (0.500, 0.000, 0.000)  -0.11
Cr (0.000, 0.000, 0.000)  2.69
O (0.500, 0.500, 0.500)  1.04
Br (0.000, 0.500, 0.000)  0.10
Br (0.000, 0.000, 0.500)  0.10

***

## CrOs2Br (GGA-PBEsol)

Data for CrOs2Br after structural relaxation.

* symmetry: Cmmm
* formation energy from raw total energies: 0.873 eV/atom
* E above lowest polymorph: 0 meV/atom
* crystal system: orthorhombic
* Fermi-level density of states: 1.217 states/eV per atom

Lattice parameters (Å, degrees): 2.661 2.661 10.547 90.00 90.00 116.87
Positions (direct):
Os (0.000, 0.000, 0.809)
Os (0.000, 0.000, 0.191)
Cr (0.500, 0.500, 0.000)
Br (0.500, 0.500, 0.500)

***

## CrOsBr2 (GGA-PBEsol)

Data for CrOsBr2 after structural relaxation.

* symmetry: Pmmm
* formation energy from raw total energies: 1.020 eV/atom
* E above lowest polymorph: 0 meV/atom
* crystal system: orthorhombic
* Fermi-level density of states: 0.853 states/eV per atom

Lattice parameters (Å, degrees): 3.037 4.238 5.659 90.00 90.00 90.00
Last column: magnetic moment on the atom in μB.
Positions (direct):
Cr (0.500, 0.500, 0.000)  3.63
Os (0.000, 0.500, 0.500)  -0.76
Br (0.000, 0.000, 0.000)  -0.03
Br (0.500, 0.000, 0.500)  -0.02

***

## Cr2OsBr (GGA-PBEsol)

Data for Cr2OsBr after structural relaxation.

* symmetry: Cmmm
* formation energy from raw total energies: 0.854 eV/atom
* E above lowest polymorph: 95 meV/atom
* crystal system: orthorhombic
* Fermi-level density of states: 0.859 states/eV per atom

Lattice parameters (Å, degrees): 2.886 4.495 4.495 105.10 90.00 90.00
Last column: magnetic moment on the atom in μB.
Positions (direct):
Br (0.500, 0.500, 0.500)  -0.04
Cr (0.000, 0.500, 0.000)  2.08
Cr (0.000, 0.000, 0.500)  2.08
Os (0.500, 0.000, 0.000)  -0.21

***

## Cr2OsBr (GGA-PBEsol)

Data for Cr2OsBr after structural relaxation.

* symmetry: Cmm2
* formation energy from raw total energies: 0.799 eV/atom
* E above lowest polymorph: 41 meV/atom
* crystal system: orthorhombic
* Fermi-level density of states: 1.125 states/eV per atom

Lattice parameters (Å, degrees): 2.707 2.707 9.009 90.00 90.00 115.69
Positions (direct):
Cr (0.000, 0.000, 0.968)
Cr (0.500, 0.500, 0.775)
Os (0.000, 0.000, 0.552)
Br (0.500, 0.500, 0.206)

***

## CrOs2Br (GGA-PBEsol)

Data for CrOs2Br after structural relaxation.

* symmetry: Fm-3m
* formation energy from raw total energies: 1.239 eV/atom
* E above lowest polymorph: 366 meV/atom
* crystal system: cubic
* Fermi-level density of states: 1.098 states/eV per atom

Lattice parameters (Å, degrees): 4.341 4.341 4.341 60.00 60.00 60.00
Last column: magnetic moment on the atom in μB.
Positions (direct):
Os (0.750, 0.750, 0.750)  -0.28
Os (0.250, 0.250, 0.250)  -0.28
Cr (0.500, 0.500, 0.500)  2.10
Br (0.000, 0.000, 0.000)  0.01

***

Number 1: energy -4.147 eV per atom. Number 2: energy -7.338 eV per atom. Number 3: energy -2.733 eV per atom. Number 4: energy -5.440 eV per atom. Number 5: energy -4.323 eV per atom. Number 6: energy -4.433 eV per atom. Number 7: energy -7.729 eV per atom. Number 8: energy -4.108 eV per atom. Number 9: energy -4.304 eV per atom. Number 10: energy -8.263 eV per atom. Number 11: energy -5.529 eV per atom. Number 12: energy -7.789 eV per atom. Number 13: energy -7.843 eV per atom. Number 14: energy -7.897 eV per atom.